DFT (PBE) results for crystalline BeCd2Cl at its relaxed geometry.

abc: 5.956 3.410 7.983
angles: 90.00 103.66 90.00
Space group C2/m (No. 12)
One atom of each set of equivalent atoms:
Be: 0.000 0.000 0.000 x2
Cd: 0.237 0.500 0.219 x4
Cl: 0.000 0.500 0.500 x2

Offset from the most stable computed form   187.9 meV/atom
Energy relative to the elements, uncorrected   0.0025 eV/atom
Spin magnetization   0.0000 μB/atom